Compound: KCrRe2
Source: Alexandria via LeMat-Bulk
Functional: GGA-PBE
Structure: relaxed

Geometry as POSCAR:
```
KCrRe2
1.0
-3.526 0.618 -1.580
-1.064 -2.061 1.569
-2.374 3.659 6.733
Cr K Re
1 1 2
Direct
0.000 0.688 0.393
0.500 0.565 0.745
0.000 0.912 0.106
0.500 0.335 0.257
```

V	21.294	Å³ per atom
ΔE to the lowest computed polymorph	110	meV/atom
space-group type	Pm, No. 6
magnetic moment	0.00	μB per formula unit
uncorrected energy	-32.1	eV per cell
density of states at the Fermi level	0.781	states/eV per atom

***

Compound: KCrRe2
Source: Alexandria via LeMat-Bulk
Functional: GGA-PBE
Structure: relaxed

Geometry as POSCAR:
```
KCrRe2
1.0
-8.920 -3.115 4.128
-7.416 -5.378 4.734
-7.386 -3.186 6.450
Cr K Re
1 1 2
Direct
0.250 0.250 0.250
0.750 0.750 0.750
0.983 0.983 0.983
0.517 0.517 0.517
```

V	17.087	Å³ per atom
ΔE to the lowest computed polymorph	41	meV/atom
space-group type	R-3m, No. 166
magnetic moment	0.00	μB per formula unit
uncorrected energy	-32.4	eV per cell
density of states at the Fermi level	1.090	states/eV per atom

***

Compound: KCr2Re
Source: Alexandria via LeMat-Bulk
Functional: GGA-PBE
Structure: relaxed

Geometry as POSCAR:
```
KCr2Re
1.0
-0.694 0.460 2.840
2.653 -1.029 0.815
3.275 8.042 -0.503
Cr K Re
2 1 1
Direct
0.000 0.000 0.998
0.500 0.500 0.165
0.000 0.000 0.500
0.500 0.500 0.838
```

V	19.048	Å³ per atom
ΔE to the lowest computed polymorph	73	meV/atom
space-group type	P4mm, No. 99
magnetic moment	3.02	μB per formula unit
uncorrected energy	-29.3	eV per cell
density of states at the Fermi level	0.843	states/eV per atom

***

Compound: KCr2Re
Source: Alexandria via LeMat-Bulk
Functional: GGA-PBE
Structure: relaxed

Geometry as POSCAR:
```
KCr2Re
1.0
-4.724 1.674 1.749
2.837 -1.751 4.131
0.689 2.243 1.038
Cr K Re
2 1 1
Direct
0.000 0.000 0.000
0.500 0.500 0.000
0.500 0.000 0.500
0.000 0.500 0.500
```

V	16.361	Å³ per atom
ΔE to the lowest computed polymorph	736	meV/atom
space-group type	C2/m, No. 12
magnetic moment	2.77	μB per formula unit
uncorrected energy	-26.7	eV per cell
density of states at the Fermi level	1.166	states/eV per atom

***

> Among the records above, which one has the highest ΔE to the lowest computed polymorph?

number 4

***

> Look up the magnetic moment of the second one.

0.00 μB per formula unit